This record from the Alexandria database describes a geometry-optimized TiAgCl3 structure. The functional is GGA-PBE.

Summary:
Formation energy from raw total energies   -0.078 eV/atom
M_tot   2.3 μB/f.u.
Energy relative to the lowest polymorph listed for this composition   716 meV per atom
Total energy   -3.336 eV per atom

Cell: 5.074 5.074 5.074 Å, 90.00 90.00 90.00°
Fractional positions:
Ti: 0.000 0.000 0.000
Ag: 0.500 0.500 0.500
Cl: 0.000 0.500 0.500
Cl: 0.500 0.000 0.500
Cl: 0.500 0.500 0.000